[1]
Density functional theory data (SCAN) for a PBEsol-optimized structure of MgSiBr2.

Structure (POSCAR):
```
MgSiBr2
1.0
3.372 0.000 0.000
0.000 5.535 0.019
-1.686 -1.376 5.410
Br Mg Si
2 1 1
direct
0.979 0.998 0.957 Br
0.184 0.628 0.367 Br
0.505 0.616 0.010 Mg
0.833 0.258 0.665 Si
```

Calculated values
As for the density of states at the Fermi level: 1.25 states/eV per cell. The calculation puts the calculated volume at 101 Å³ per cell. The value obtained for the energy relative to the elements, uncorrected is -0.34 eV per atom. The space group is Cm.

---

[2]
Density functional theory data (SCAN) for a PBEsol-optimized structure of NaTe2N2.

Structure (POSCAR):
```
NaTe2N2
1.0
4.118 0.000 0.000
0.000 4.118 0.000
0.000 0.000 5.951
Te Na N
2 1 2
direct
0.000 0.000 0.000 Te
0.000 0.000 0.500 Te
0.500 0.500 0.500 Na
0.500 0.000 0.000 N
0.000 0.500 0.000 N
```

Calculated values
As for the density of states at the Fermi level: 3.29 states/eV per cell. The calculation puts the calculated volume at 101 Å³ per cell. The value obtained for the energy relative to the elements, uncorrected is 1.05 eV per atom. The space group is P4/mmm.